Crystalline Li2PuTiSe4 at its relaxed geometry. Source: the Alexandria database, functional PBE.

a b c (Å): 3.9086 6.7303 6.8486
angles (deg): 109.07 90.00 90.00
Closest atoms and distances in Å follow each position.
Fractional positions:
Li: 0.5000 0.0000 0.5000  6 Se 2.87
Li: 0.0000 0.5000 0.5000  6 Se 2.70-2.71
Pu: 0.0000 0.0000 0.0000  6 Se 2.84
Ti: 0.5000 0.5000 0.0000  6 Se 2.67-2.69
Se: 0.5000 0.2711 0.2529  1 Ti 2.67, 3 Li 2.71-2.87, 2 Pu 2.84
Se: 0.5000 0.7289 0.7471  1 Ti 2.67, 3 Li 2.71-2.87, 2 Pu 2.84
Se: 0.0000 0.2727 0.7595  2 Ti 2.69, 3 Li 2.70-2.87, 1 Pu 2.84
Se: 0.0000 0.7273 0.2405  2 Ti 2.69, 3 Li 2.70-2.87, 1 Pu 2.84

Output
ρ, kg/m3: 6062
Formation energy from raw total energies, meV/atom: -1279
Magnetization, μB/cell: 6.00
Final energy, eV per atom: -6.28